VASP calculation (meta-GGA SCAN) on a PBEsol-optimized structure of MgOsPt2.

a = 2.734 Å, b = 4.530 Å, c = 4.779 Å
α = 90.00°, β = 90.00°, γ = 90.00°
Element x y z (fractional)
Mg (0.000, 0.000, 0.000)
Os (0.000, 0.500, 0.623)
Pt (0.500, 0.000, 0.503)
Pt (0.500, 0.500, 0.131)

* formation energy from the elements: -0.36 eV/atom
* space group: Pmm2, No. 25

VASP calculation (meta-GGA SCAN) on a PBEsol-optimized structure of Mg2OsPt.

a = 5.787 Å, b = 5.787 Å, c = 5.787 Å
α = 152.24°, β = 133.15°, γ = 55.33°
Element x y z (fractional)
Mg (0.000, 0.000, 0.000)
Mg (0.696, 0.196, 0.500)
Os (0.242, 0.742, 0.500)
Pt (0.458, 0.458, 0.000)

* formation energy from the elements: -0.20 eV/atom
* space group: Imm2, No. 44